Entry 1:
Entry from Alexandria: crystalline CdNiP2Cl at its relaxed geometry (GGA-PBE).

Lattice parameters (Å, degrees): 4.9473 4.9473 5.1267 90.00 90.00 90.00
Closest atoms and distances in Å follow each position.
Positions (direct):
P1 0.5000 0.0000 0.0000  2 Cd 2.47
P2 0.0000 0.5000 0.0000  2 Cd 2.47
Ni1 0.5000 0.5000 0.5000  4 Cl 3.50, 8 P 3.56
Cd1 0.0000 0.0000 0.0000  4 P 2.47, 2 Cl 2.56
Cl1 0.0000 0.0000 0.5000  2 Cd 2.56

Output
ρ	3553	kg/m³
formation energy (no corrections)	1.3025	eV per atom
final energy	-12.85	eV for the cell shown
crystal system	tetragonal
SG	P4/mmm
M_tot	0.36	μB per formula unit
offset from the most stable computed form	502	kJ/mol of formula units

Entry 2:
Entry from Alexandria: crystalline K2CeB2O6 at its relaxed geometry (GGA-PBE).

Lattice parameters (Å, degrees): 5.5913 5.5913 6.4816 90.00 90.00 120.00
Closest atoms and distances in Å follow each position.
Positions (direct):
O1 0.8100 0.6194 0.2019  1 B 1.39
O2 0.3806 0.1905 0.2019  1 B 1.39
O3 0.1900 0.3806 0.7981  1 B 1.39
O4 0.6194 0.8095 0.7981  1 B 1.39
O5 0.1905 0.8100 0.7981  1 B 1.39
O6 0.8095 0.1900 0.2019  1 B 1.39
K1 0.6667 0.3333 0.6758  6 O 2.91-2.92, 1 B 3.11
K2 0.3333 0.6667 0.3242  6 O 2.91-2.92, 1 B 3.11
B1 0.6667 0.3333 0.1967  3 O 1.39
B2 0.3333 0.6667 0.8033  3 O 1.39
Ce1 0.0000 0.0000 0.0000  6 O 2.26

Output
ρ	3179	kg/m³
formation energy (no corrections)	-2.5728	eV per atom
final energy	-79.53	eV for the cell shown
crystal system	trigonal
SG	P-3m1
M_tot	0.00	μB per formula unit

Entry 3:
Entry from Alexandria: crystalline SnGeRh3 at its relaxed geometry (GGA-PBE).

Lattice parameters (Å, degrees): 4.8421 4.8421 4.8421 90.00 90.00 90.00
Closest atoms and distances in Å follow each position.
Positions (direct):
Sn1 0.0000 0.0000 0.0000  6 Rh 2.42
Rh1 0.0000 0.5000 0.0000  2 Sn 2.42
Rh2 0.5000 0.0000 0.0000  2 Sn 2.42
Rh3 0.0000 0.0000 0.5000  2 Sn 2.42
Ge1 0.5000 0.5000 0.5000  12 Rh 3.42

Output
ρ	7314	kg/m³
final energy	-25.24	eV for the cell shown
crystal system	cubic
SG	Pm-3m
M_tot	0.00	μB per formula unit
offset from the most stable computed form	676	kJ/mol of formula units
formation energy from the elements	1.087	eV/atom

Entry 4:
Entry from Alexandria: crystalline Mg4Si7 at its relaxed geometry (GGA-PBE).

Lattice parameters (Å, degrees): 4.2922 6.5605 13.7758 87.59 90.00 90.00
Closest atoms and distances in Å follow each position.
Positions (direct):
Mg1 0.5000 0.5987 0.1415  9 Si 2.78-3.06
Mg2 0.5000 0.0892 0.0721  11 Si 2.78-3.02
Mg3 0.0000 0.6156 0.8110  10 Si 2.88-3.19, 1 Mg 3.19
Mg4 0.5000 0.3813 0.4917  4 Si 2.61-2.87
Mg5 0.0000 0.6995 0.5816  8 Si 2.86-3.18, 1 Mg 3.19
Mg6 0.0000 0.5744 0.3421  6 Si 2.84-3.00
Mg7 0.0000 0.1860 0.6660  8 Si 2.85-3.13
Mg8 0.0000 0.0752 0.4131  9 Si 2.95-3.26, 2 Mg 3.16
Si1 0.0000 0.0959 0.8958  6 Si 2.58-2.78
Si2 0.5000 0.4572 0.9399  4 Si 2.41-2.45
Si3 0.0000 0.3935 0.0214  5 Si 2.44-2.66
Si4 0.0000 0.8882 0.1937  4 Si 2.44-2.48
Si5 0.0000 0.2603 0.1897  4 Si 2.44-2.56
Si6 0.5000 0.9266 0.2807  4 Si 2.37-2.48
Si7 0.5000 0.8613 0.7307  4 Si 2.44-2.66
Si8 0.5000 0.0051 0.5643  2 Si 2.37-2.44, 1 Mg 2.62
Si9 0.5000 0.4943 0.6815  2 Si 2.45-2.53
Si10 0.0000 0.7841 0.0247  5 Si 2.45-2.65
Si11 0.5000 0.2240 0.8094  5 Si 2.41-2.66
Si12 0.5000 0.7687 0.4389  2 Si 2.37, 1 Mg 2.61
Si13 0.5000 0.8288 0.9180  4 Si 2.44-2.61
Si14 0.5000 0.2958 0.2888  3 Si 2.43-2.56

Output
ρ	2518	kg/m³
formation energy (no corrections)	0.1227	eV per atom
final energy	-85.98	eV for the cell shown
crystal system	monoclinic
SG	Pm
M_tot	0.00	μB per formula unit
offset from the most stable computed form	28	kJ/mol of formula units

Entry 5:
Entry from Alexandria: crystalline CsVPb2Br8 at its relaxed geometry (GGA-PBE).

Lattice parameters (Å, degrees): 7.3376 7.5143 9.6253 57.86 89.57 88.56
Closest atoms and distances in Å follow each position.
Positions (direct):
Pb1 0.5438 0.2508 0.7622  5 Br 2.91-3.22
Pb2 0.4562 0.7492 0.2378  5 Br 2.91-3.22
Br1 0.0572 0.6596 0.2789  1 V 2.57
Br2 0.2518 0.8851 0.8778  1 V 2.55
Br3 0.7482 0.1149 0.1222  1 V 2.55
Br4 0.4650 0.7200 0.5511  2 Pb 2.91-3.03
Br5 0.5350 0.2800 0.4489  2 Pb 2.91-3.03
Br6 0.2389 0.1801 0.0732  1 V 2.56
Br7 0.9428 0.3404 0.7211  1 V 2.57
Br8 0.7611 0.8199 0.9268  1 V 2.56
Cs1 0.0000 0.0000 0.5000  8 Br 3.75-4.12
V1 0.0000 0.0000 0.0000  6 Br 2.55-2.57

Output
ρ	4574	kg/m³
formation energy (no corrections)	-1.0493	eV per atom
final energy	-43.36	eV for the cell shown
crystal system	triclinic
SG	P-1
M_tot	2.00	μB per formula unit